No. 1
# Na6Ag2Pb

A relaxed structure of Na6Ag2Pb (PBE, Alexandria via LeMat-Bulk).

a b c (Å): 4.927 5.842 10.352
angles (deg): 103.00 90.00 114.94
Sites, in units of the cell vectors:
Ag: 0.172 0.343 0.268
Na: 0.472 0.944 0.252
Na: 0.717 0.435 0.092
Na: 0.172 0.344 0.565
Na: 0.283 0.565 0.908
Na: 0.528 0.056 0.748
Ag: 0.828 0.657 0.732
Pb: 0.000 0.000 0.000
Na: 0.828 0.656 0.435

Output
spin magnetization	0.000	μB/cell
polymorph energy (0 for the lowest one)	0.0	kJ/mol of atoms
Fermi-level density of states	0.357	states/eV/atom
calculated total energy	-1.9660	eV/atom
space-group type	C2/m (12)

No. 2
# TlHg4Pb

A relaxed structure of TlHg4Pb (PBE, Alexandria via LeMat-Bulk).

a b c (Å): 6.058 6.494 9.381
angles (deg): 90.00 108.84 90.00
Sites, in units of the cell vectors:
Hg: 0.506 0.408 0.012
Pb: 0.346 0.183 0.692
Tl: 0.164 0.420 0.328
Hg: 0.339 0.668 0.678
Pb: 0.654 0.683 0.308
Hg: 0.815 0.419 0.629
Hg: 0.185 0.919 0.371
Tl: 0.836 0.920 0.672
Hg: 0.494 0.908 0.988
Hg: 0.986 0.335 0.973
Hg: 0.661 0.168 0.322
Hg: 0.014 0.835 0.027

Output
spin magnetization	0.000	μB/cell
polymorph energy (0 for the lowest one)	0.0	kJ/mol of atoms
Fermi-level density of states	0.395	states/eV/atom
calculated total energy	-1.1898	eV/atom
space-group type	Cmc2_1 (36)

No. 3
# NaMg2Cd10

A relaxed structure of NaMg2Cd10 (PBE, Alexandria via LeMat-Bulk).

a b c (Å): 6.059 7.768 7.695
angles (deg): 81.17 66.81 67.05
Sites, in units of the cell vectors:
Cd: 0.498 0.218 0.786
Cd: 0.284 0.218 0.214
Mg: 0.500 0.500 0.000
Cd: 0.000 0.000 0.500
Cd: 0.002 0.650 0.346
Cd: 0.500 0.000 0.500
Na: 0.000 0.000 0.000
Cd: 0.998 0.350 0.654
Cd: 0.652 0.350 0.346
Mg: 0.000 0.500 0.000
Cd: 0.348 0.650 0.654
Cd: 0.502 0.782 0.214
Cd: 0.716 0.782 0.786

Output
spin magnetization	0.000	μB/cell
Fermi-level density of states	0.408	states/eV/atom
calculated total energy	-1.0906	eV/atom
space-group type	Fmmm (69)

No. 4
# CoTeRh2

A relaxed structure of CoTeRh2 (PBE, Alexandria via LeMat-Bulk).

a b c (Å): 4.545 4.545 3.098
angles (deg): 90.00 90.00 102.83
Site moments in Bohr magnetons follow the coordinates.
Sites, in units of the cell vectors:
Rh: 0.000 0.000 0.000  0.35
Co: 0.000 0.500 0.500  1.86
Te: 0.500 0.000 0.500  0.00
Rh: 0.500 0.500 0.000  0.35

Output
formation energy (no corrections)	0.698	eV/f.u.
spin magnetization	2.503	μB/cell
Fermi-level density of states	1.506	states/eV/atom
calculated total energy	-6.0632	eV/atom
space-group type	Cmmm (65)

No. 5
# ErTcMo

A relaxed structure of ErTcMo (PBE, Alexandria via LeMat-Bulk).

a b c (Å): 4.111 4.111 7.974
angles (deg): 104.94 104.94 90.00
Sites, in units of the cell vectors:
Tc: 0.000 0.664 0.000
Mo: 0.103 0.268 0.206
Er: 0.673 0.837 0.345
Tc: 0.500 0.164 0.000
Mo: 0.897 0.061 0.794
Er: 0.327 0.492 0.655

Output
spin magnetization	0.000	μB/cell
polymorph energy (0 for the lowest one)	27.9	kJ/mol of atoms
Fermi-level density of states	1.396	states/eV/atom
calculated total energy	-8.2978	eV/atom
space-group type	I4/mmm (139)

No. 6
# Li3CoMo

A relaxed structure of Li3CoMo (PBE, Alexandria via LeMat-Bulk).

a b c (Å): 4.794 4.794 4.794
angles (deg): 90.00 90.00 90.00
Site moments in Bohr magnetons follow the coordinates.
Sites, in units of the cell vectors:
Mo: 0.000 0.000 0.000  3.33
Co: 0.500 0.500 0.500  2.15
Li: 0.000 0.000 0.500  0.02
Li: 0.500 0.000 0.000  0.04
Li: 0.000 0.500 0.000  0.02

Output
spin magnetization	5.989	μB/cell
Fermi-level density of states	0.215	states/eV/atom
calculated total energy	-3.0461	eV/atom
space-group type	Pm-3m (221)

No. 7
# Nd2Y2Si4Ir

A relaxed structure of Nd2Y2Si4Ir (PBE, Alexandria via LeMat-Bulk).

a b c (Å): 6.515 6.515 6.515
angles (deg): 96.55 116.29 116.29
Sites, in units of the cell vectors:
Si: 0.495 0.248 0.248
Ir: 0.000 0.000 0.000
Y: 0.000 0.312 0.312
Nd: 0.500 0.750 0.250
Si: 0.000 0.248 0.752
Si: 0.505 0.752 0.752
Si: 0.000 0.752 0.248
Y: 0.000 0.688 0.688
Nd: 0.500 0.250 0.750

Output
formation energy (no corrections)	-3.793	eV/f.u.
spin magnetization	0.002	μB/cell
Fermi-level density of states	0.874	states/eV/atom
calculated total energy	-6.3122	eV/atom
space-group type	I4/mmm (139)

No. 8
# HoPu2Rh3

A relaxed structure of HoPu2Rh3 (PBE, Alexandria via LeMat-Bulk).

a b c (Å): 3.406 3.406 10.355
angles (deg): 90.00 90.00 90.00
Site moments in Bohr magnetons follow the coordinates.
Sites, in units of the cell vectors:
Rh: 0.000 0.000 0.000  -0.42
Rh: 0.000 0.000 0.336  -0.19
Pu: 0.500 0.500 0.166  5.06
Pu: 0.500 0.500 0.834  5.06
Ho: 0.500 0.500 0.500  0.06
Rh: 0.000 0.000 0.664  -0.19

Output
spin magnetization	9.773	μB/cell
Fermi-level density of states	3.160	states/eV/atom
calculated total energy	-9.7781	eV/atom
space-group type	P4/mmm (123)

No. 9
# La2YHoP4

A relaxed structure of La2YHoP4 (PBE, Alexandria via LeMat-Bulk).

a b c (Å): 4.141 7.168 7.164
angles (deg): 109.46 90.00 90.00
Sites, in units of the cell vectors:
Ho: 0.500 0.500 0.000
P: 0.000 0.256 0.764
P: 0.500 0.246 0.236
La: 0.000 0.500 0.500
P: 0.000 0.744 0.236
La: 0.500 0.000 0.500
Y: 0.000 0.000 0.000
P: 0.500 0.754 0.764

Output
spin magnetization	0.000	μB/cell
Fermi-level density of states	0.088	states/eV/atom
calculated total energy	-6.9019	eV/atom
space-group type	P2/m (10)

No. 10
# LiMg5Pd8

A relaxed structure of LiMg5Pd8 (PBE, Alexandria via LeMat-Bulk).

a b c (Å): 6.688 6.688 6.688
angles (deg): 110.69 107.05 110.69
Sites, in units of the cell vectors:
Mg: 0.867 0.897 0.216
Pd: 0.664 0.405 0.918
Mg: 0.500 0.000 0.500
Mg: 0.030 0.349 0.133
Pd: 0.082 0.747 0.488
Li: 0.250 0.500 0.750
Pd: 0.155 0.734 0.057
Mg: 0.319 0.103 0.970
Pd: 0.741 0.253 0.336
Pd: 0.943 0.098 0.678
Pd: 0.512 0.595 0.259
Pd: 0.580 0.902 0.845
Pd: 0.322 0.266 0.420
Mg: 0.784 0.651 0.681

Output
spin magnetization	0.000	μB/cell
Fermi-level density of states	0.262	states/eV/atom
calculated total energy	-4.1579	eV/atom
space-group type	I-4 (82)

No. 11
# SiPb4Br

A relaxed structure of SiPb4Br (PBE, Alexandria via LeMat-Bulk).

a b c (Å): 6.447 6.447 6.447
angles (deg): 60.00 60.00 60.00
Sites, in units of the cell vectors:
Pb: 0.376 0.873 0.376
Si: 0.750 0.750 0.750
Pb: 0.376 0.376 0.873
Pb: 0.873 0.376 0.376
Br: 0.000 0.000 0.000
Pb: 0.376 0.376 0.376

Output
formation energy (no corrections)	2.438	eV/f.u.
spin magnetization	0.000	μB/cell
Fermi-level density of states	0.543	states/eV/atom
calculated total energy	-3.2485	eV/atom
space-group type	F-43m (216)

No. 12
# Ho12Fe6Ag

A relaxed structure of Ho12Fe6Ag (PBE, Alexandria via LeMat-Bulk).

a b c (Å): 8.319 8.319 8.319
angles (deg): 109.47 109.47 109.47
Site moments in Bohr magnetons follow the coordinates.
Sites, in units of the cell vectors:
Ho: 0.196 0.298 0.495  -0.19
Ho: 0.495 0.196 0.298  -0.19
Ho: 0.298 0.102 0.804  -0.19
Ho: 0.804 0.298 0.102  -0.19
Fe: 0.390 0.500 0.890  1.23
Ho: 0.898 0.196 0.702  -0.19
Ho: 0.196 0.702 0.898  -0.19
Ag: 0.000 0.000 0.000  -0.03
Fe: 0.500 0.110 0.610  1.23
Ho: 0.298 0.495 0.196  -0.19
Ho: 0.102 0.804 0.298  -0.19
Ho: 0.702 0.898 0.196  -0.19
Fe: 0.110 0.610 0.500  1.23
Fe: 0.610 0.500 0.110  1.23
Ho: 0.505 0.804 0.702  -0.19
Ho: 0.804 0.702 0.505  -0.19
Fe: 0.890 0.390 0.500  1.23
Ho: 0.702 0.505 0.804  -0.19
Fe: 0.500 0.890 0.390  1.23

Output
spin magnetization	4.500	μB/cell
Fermi-level density of states	0.911	states/eV/atom
calculated total energy	-5.7650	eV/atom
space-group type	Im-3 (204)

No. 13
# SrCu2Pd5

A relaxed structure of SrCu2Pd5 (PBE, Alexandria via LeMat-Bulk).

a b c (Å): 3.891 6.444 6.444
angles (deg): 70.77 72.43 72.43
Sites, in units of the cell vectors:
Pd: 0.350 0.838 0.461
Pd: 0.000 0.500 0.500
Cu: 0.745 0.755 0.755
Pd: 0.650 0.539 0.162
Pd: 0.650 0.162 0.539
Cu: 0.255 0.245 0.245
Pd: 0.350 0.461 0.838
Sr: 0.000 0.000 0.000

Output
spin magnetization	0.000	μB/cell
Fermi-level density of states	0.618	states/eV/atom
calculated total energy	-4.6621	eV/atom
space-group type	Immm (71)

No. 14
# CaTaOs2

A relaxed structure of CaTaOs2 (PBE, Alexandria via LeMat-Bulk).

a b c (Å): 4.565 4.565 4.565
angles (deg): 60.00 60.00 60.00
Sites, in units of the cell vectors:
Os: 0.750 0.750 0.750
Ca: 0.500 0.500 0.500
Os: 0.000 0.000 0.000
Ta: 0.250 0.250 0.250

Output
spin magnetization	0.000	μB/cell
polymorph energy (0 for the lowest one)	52.3	kJ/mol of atoms
Fermi-level density of states	0.660	states/eV/atom
calculated total energy	-8.5216	eV/atom
space-group type	F-43m (216)

No. 15
# Pr5Si2Te

A relaxed structure of Pr5Si2Te (PBE, Alexandria via LeMat-Bulk).

a b c (Å): 7.967 7.967 9.172
angles (deg): 115.74 115.74 90.00
Site moments in Bohr magnetons follow the coordinates.
Sites, in units of the cell vectors:
Pr: 0.000 0.000 0.000  0.36
Pr: 0.807 0.970 0.277  0.15
Pr: 0.530 0.693 0.723  0.15
Si: 0.122 0.378 0.000  -0.02
Pr: 0.193 0.030 0.723  0.15
Te: 0.250 0.250 0.500  -0.01
Te: 0.750 0.750 0.500  -0.01
Si: 0.878 0.622 0.000  -0.02
Pr: 0.500 0.500 0.000  0.36
Si: 0.622 0.122 0.000  -0.02
Pr: 0.307 0.807 0.277  0.15
Pr: 0.470 0.307 0.277  0.15
Pr: 0.030 0.530 0.723  0.15
Pr: 0.970 0.470 0.277  0.15
Pr: 0.693 0.193 0.723  0.15
Si: 0.378 0.878 0.000  -0.02

Output
formation energy (no corrections)	-5.936	eV/f.u.
spin magnetization	3.895	μB/cell
Fermi-level density of states	1.151	states/eV/atom
calculated total energy	-5.4776	eV/atom
space-group type	I4/mcm (140)

No. 16
# TbY3Pt

A relaxed structure of TbY3Pt (PBE, Alexandria via LeMat-Bulk).

a b c (Å): 5.138 6.426 8.780
angles (deg): 83.28 90.00 89.96
Sites, in units of the cell vectors:
Tb: 0.875 0.065 0.234
Y: 0.875 0.461 0.894
Y: 0.876 0.949 0.693
Pt: 0.376 0.708 0.739
Pt: 0.875 0.645 0.163
Y: 0.375 0.404 0.209
Y: 0.376 0.891 0.007
Tb: 0.376 0.287 0.667
Y: 0.876 0.498 0.472
Y: 0.376 0.855 0.430

Output
spin magnetization	0.000	μB/cell
polymorph energy (0 for the lowest one)	6.0	kJ/mol of atoms
Fermi-level density of states	1.405	states/eV/atom
calculated total energy	-6.4839	eV/atom
space-group type	P-1 (2)

No. 17
# YInCl2

A relaxed structure of YInCl2 (PBE, Alexandria via LeMat-Bulk).

a b c (Å): 9.503 9.503 9.503
angles (deg): 159.53 153.84 33.44
Sites, in units of the cell vectors:
Cl: 0.760 0.260 0.500
Cl: 0.109 0.109 0.000
Y: 0.222 0.722 0.500
In: 0.409 0.409 0.000

Output
formation energy (no corrections)	-4.488	eV/f.u.
spin magnetization	0.000	μB/cell
polymorph energy (0 for the lowest one)	16.4	kJ/mol of atoms
Fermi-level density of states	0.637	states/eV/atom
calculated total energy	-4.3460	eV/atom
space-group type	Imm2 (44)

No. 18
# Ca2ZnSe

A relaxed structure of Ca2ZnSe (PBE, Alexandria via LeMat-Bulk).

a b c (Å): 3.757 3.713 7.946
angles (deg): 62.19 90.00 90.00
Sites, in units of the cell vectors:
Ca: 0.000 0.996 0.004
Zn: 0.500 0.750 0.750
Ca: 0.000 0.504 0.496
Se: 0.500 0.250 0.250

Output
formation energy (no corrections)	-3.713	eV/f.u.
spin magnetization	0.000	μB/cell
polymorph energy (0 for the lowest one)	0.5	kJ/mol of atoms
Fermi-level density of states	0.466	states/eV/atom
calculated total energy	-3.1186	eV/atom
space-group type	Pmmm (47)

No. 19
# Sm4ReI5

A relaxed structure of Sm4ReI5 (PBE, Alexandria via LeMat-Bulk).

a b c (Å): 4.121 9.591 10.076
angles (deg): 103.52 101.80 90.00
Sites, in units of the cell vectors:
Re: 0.500 0.000 0.000
I: 0.170 0.838 0.341
Sm: 0.363 0.930 0.726
Sm: 0.000 0.222 0.001
I: 0.833 0.670 0.665
I: 0.830 0.162 0.659
Sm: 0.637 0.070 0.274
I: 0.500 0.500 0.000
Sm: 0.000 0.778 0.999
I: 0.167 0.330 0.335

Output
formation energy (no corrections)	-9.327	eV/f.u.
spin magnetization	0.000	μB/cell
Fermi-level density of states	0.525	states/eV/atom
calculated total energy	-4.8402	eV/atom
space-group type	C2/m (12)

No. 20
# AgSnBi

A relaxed structure of AgSnBi (PBE, Alexandria via LeMat-Bulk).

a b c (Å): 4.920 4.920 4.920
angles (deg): 60.00 60.00 60.00
Sites, in units of the cell vectors:
Ag: 0.250 0.250 0.250
Bi: 0.000 0.000 0.000
Sn: 0.500 0.500 0.500

Output
spin magnetization	0.000	μB/cell
polymorph energy (0 for the lowest one)	0.0	kJ/mol of atoms
Fermi-level density of states	0.512	states/eV/atom
calculated total energy	-3.5312	eV/atom
space-group type	F-43m (216)